Entry from Alexandria: a geometry-optimized CuAgNO2 structure (PBE-GGA).

a = 3.896 Å, b = 3.896 Å, c = 3.697 Å
α = 90.00°, β = 90.00°, γ = 90.00°
Atoms (fractional coordinates):
Cu 0.000 0.000 0.000
Ag 0.500 0.500 0.500
N 0.000 0.000 0.500
O 0.000 0.500 0.000
O 0.500 0.000 0.000

Total moment, Bohr magnetons per cell: 0.47

---

Entry from Alexandria: a geometry-optimized CuAgNO2 structure (PBE-GGA).

a = 4.091 Å, b = 4.091 Å, c = 3.902 Å
α = 90.00°, β = 90.00°, γ = 90.00°
Atoms (fractional coordinates):
Cu 0.000 0.000 0.000
Ag 0.500 0.500 0.500
N 0.500 0.500 0.000
O 0.000 0.500 0.500
O 0.500 0.000 0.500

Total moment, Bohr magnetons per cell: 0.00

---

Entry from Alexandria: a geometry-optimized CuAgP2N structure (PBE-GGA).

a = 4.673 Å, b = 4.673 Å, c = 4.726 Å
α = 90.00°, β = 90.00°, γ = 90.00°
Atoms (fractional coordinates):
Cu 0.000 0.000 0.000
Ag 0.000 0.000 0.500
P 0.000 0.500 0.500
P 0.500 0.000 0.500
N 0.500 0.500 0.000

Total moment, Bohr magnetons per cell: 0.03

---

Entry from Alexandria: a geometry-optimized Cu2AgPdN structure (PBE-GGA).

a = 3.904 Å, b = 3.904 Å, c = 4.259 Å
α = 90.00°, β = 90.00°, γ = 90.00°
Atoms (fractional coordinates):
Cu 0.000 0.500 0.000
Cu 0.500 0.000 0.000
Ag 0.000 0.000 0.500
Pd 0.500 0.500 0.500
N 0.500 0.500 0.000

Total moment, Bohr magnetons per cell: 0.00

---

Table of E (eV/atom), in record order: -4.170 -3.604 -3.007 -4.750
Table of energy relative to the elements, uncorrected (eV per atom), in record order: 0.867 1.434 2.212 0.162